Record 1
Density functional theory data (PBE) for a geometry-optimized TiSiRu structure.

Space group = No. 62
Formation energy (no corrections) = -0.82 eV/atom
Theoretical density = 6.72 g cm⁻³
Total moment = 0.00 μB per cell
E = -8.349 eV per atom

Unit cell a=6.0948 b=3.9644 c=7.2373 alpha=90.00 beta=90.00 gamma=90.00
Element x y z (fractional)
Ti: 0.0166 0.2500 0.1872
Ti: 0.4834 0.7500 0.6872
Ti: 0.5166 0.2500 0.3128
Ti: 0.9834 0.7500 0.8128
Si: 0.2239 0.7500 0.3761
Si: 0.2761 0.2500 0.8761
Si: 0.7239 0.7500 0.1239
Si: 0.7761 0.2500 0.6239
Ru: 0.1650 0.2500 0.5553
Ru: 0.3350 0.7500 0.0553
Ru: 0.6650 0.2500 0.9447
Ru: 0.8350 0.7500 0.4447

Record 2
Density functional theory data (PBE) for a geometry-optimized TiSiRu structure.

Space group = No. 107
Formation energy (no corrections) = -0.62 eV/atom
Theoretical density = 6.98 g cm⁻³
Total moment = 0.00 μB per cell
E = -8.154 eV per atom

Unit cell a=2.9894 b=2.9894 c=9.4187 alpha=90.00 beta=90.00 gamma=90.00
Element x y z (fractional)
Ti: 0.0000 0.0000 0.0000
Ti: 0.5000 0.5000 0.5000
Si: 0.0000 0.0000 0.6823
Si: 0.5000 0.5000 0.1823
Ru: 0.0000 0.0000 0.3228
Ru: 0.5000 0.5000 0.8228

Record 3
Density functional theory data (PBE) for a geometry-optimized TiSi3Ru4 structure.

Space group = No. 47
Formation energy (no corrections) = -0.72 eV/atom
Theoretical density = 8.49 g cm⁻³
Total moment = 0.00 μB per cell
E = -8.376 eV per atom

Unit cell a=2.9914 b=4.1924 c=8.3655 alpha=90.00 beta=90.00 gamma=90.00
Element x y z (fractional)
Ti: 0.0000 0.0000 0.0000
Si: 0.0000 0.0000 0.5000
Si: 0.0000 0.5000 0.2485
Si: 0.0000 0.5000 0.7515
Ru: 0.5000 0.0000 0.2574
Ru: 0.5000 0.0000 0.7426
Ru: 0.5000 0.5000 0.0000
Ru: 0.5000 0.5000 0.5000

Record 4
Density functional theory data (PBE) for a geometry-optimized TiSi2Ru4 structure.

Space group = No. 166
Formation energy (no corrections) = -0.51 eV/atom
Theoretical density = 8.48 g cm⁻³
Total moment = 0.00 μB per cell
E = -8.488 eV per atom

Unit cell a=7.0534 b=7.0534 c=7.0534 alpha=34.32 beta=34.32 gamma=34.32
Element x y z (fractional)
Ti: 0.0000 0.0000 0.0000
Si: 0.2508 0.2508 0.2508
Si: 0.7492 0.7492 0.7492
Ru: 0.1299 0.1299 0.1299
Ru: 0.3774 0.3774 0.3774
Ru: 0.6226 0.6226 0.6226
Ru: 0.8701 0.8701 0.8701

Record 5
Density functional theory data (PBE) for a geometry-optimized TiSiRu3 structure.

Space group = No. 221
Formation energy (no corrections) = 1.27 eV/atom
Theoretical density = 7.03 g cm⁻³
E above lowest polymorph = 5.10 eV/f.u.
Total moment = 0.00 μB per cell
E = -6.958 eV per atom

Unit cell a=4.4747 b=4.4747 c=4.4747 alpha=90.00 beta=90.00 gamma=90.00
Element x y z (fractional)
Ti: 0.0000 0.0000 0.0000
Si: 0.5000 0.5000 0.5000
Ru: 0.0000 0.0000 0.5000
Ru: 0.0000 0.5000 0.0000
Ru: 0.5000 0.0000 0.0000

Record 6
Density functional theory data (PBE) for a geometry-optimized TmTiSi2Ru structure.

Space group = No. 119
Formation energy (no corrections) = -0.83 eV/atom
Theoretical density = 7.32 g cm⁻³
Total moment = 0.00 μB per cell
E = -7.328 eV per atom

Unit cell a=3.9665 b=3.9665 c=10.7881 alpha=90.00 beta=90.00 gamma=90.00
Element x y z (fractional)
Tm: 0.0000 0.0000 0.0000
Tm: 0.5000 0.5000 0.5000
Ti: 0.0000 0.5000 0.7500
Ti: 0.5000 0.0000 0.2500
Si: 0.0000 0.0000 0.3901
Si: 0.0000 0.0000 0.6099
Si: 0.5000 0.5000 0.1099
Si: 0.5000 0.5000 0.8901
Ru: 0.0000 0.5000 0.2500
Ru: 0.5000 0.0000 0.7500

Record 7
Density functional theory data (PBE) for a geometry-optimized TiVSiRu structure.

Space group = No. 216
Formation energy (no corrections) = -0.58 eV/atom
Theoretical density = 6.81 g cm⁻³
Total moment = 11.65 μB per cell
E = -8.504 eV per atom

Unit cell a=6.0596 b=6.0596 c=6.0596 alpha=90.00 beta=90.00 gamma=90.00
Element x y z (fractional)
Ti: 0.0000 0.0000 0.0000
Ti: 0.0000 0.5000 0.5000
Ti: 0.5000 0.0000 0.5000
Ti: 0.5000 0.5000 0.0000
V: 0.2500 0.2500 0.7500
V: 0.2500 0.7500 0.2500
V: 0.7500 0.2500 0.2500
V: 0.7500 0.7500 0.7500
Si: 0.0000 0.0000 0.5000
Si: 0.0000 0.5000 0.0000
Si: 0.5000 0.0000 0.0000
Si: 0.5000 0.5000 0.5000
Ru: 0.2500 0.2500 0.2500
Ru: 0.2500 0.7500 0.7500
Ru: 0.7500 0.2500 0.7500
Ru: 0.7500 0.7500 0.2500

Record 8
Density functional theory data (PBE) for a geometry-optimized TlSi2Ru structure.

Space group = No. 216
Formation energy (no corrections) = 0.70 eV/atom
Theoretical density = 8.79 g cm⁻³
E above lowest polymorph = 2.87 eV/f.u.
Total moment = 0.00 μB per cell
E = -4.920 eV per atom

Unit cell a=6.4896 b=6.4896 c=6.4896 alpha=90.00 beta=90.00 gamma=90.00
Element x y z (fractional)
Tl: 0.0000 0.0000 0.0000
Tl: 0.0000 0.5000 0.5000
Tl: 0.5000 0.0000 0.5000
Tl: 0.5000 0.5000 0.0000
Si: 0.0000 0.0000 0.5000
Si: 0.0000 0.5000 0.0000
Si: 0.2500 0.2500 0.7500
Si: 0.2500 0.7500 0.2500
Si: 0.5000 0.0000 0.0000
Si: 0.5000 0.5000 0.5000
Si: 0.7500 0.2500 0.2500
Si: 0.7500 0.7500 0.7500
Ru: 0.2500 0.2500 0.2500
Ru: 0.2500 0.7500 0.7500
Ru: 0.7500 0.2500 0.7500
Ru: 0.7500 0.7500 0.2500